Record 1
VASP calculation (SCAN) on a crystal of RbSrCd2 relaxed with PBEsol.

POSCAR file:
```
RbSrCd2
1.0
0.000 4.114 4.114
4.114 0.000 4.114
4.114 4.114 0.000
Rb Sr Cd
1 1 2
Cartesian
0.000 0.000 0.000
4.114 4.114 4.114
2.057 2.057 2.057
6.171 6.171 6.171
```

Summary:
crystal system	cubic
formation energy	-0.07	eV per atom

=====

Record 2
VASP calculation (SCAN) on a crystal of Rb2Cd2Tc relaxed with PBEsol.

POSCAR file:
```
Rb2Cd2Tc
1.0
-2.135 2.135 8.076
2.135 -2.135 8.076
2.135 2.135 -8.076
Rb Cd Tc
2 2 1
Cartesian
2.135 0.000 4.038
0.000 2.135 4.038
0.000 0.000 1.310
0.000 0.000 14.842
0.000 0.000 8.076
```

Summary:
crystal system	tetragonal
formation energy	1.15	eV per atom

=====

Record 3
VASP calculation (SCAN) on a crystal of Rb3CdTc relaxed with PBEsol.

POSCAR file:
```
Rb3CdTc
1.0
6.343 0.000 0.000
0.000 6.343 0.000
0.000 0.000 6.343
Rb Cd Tc
3 1 1
Cartesian
0.000 0.000 3.171
0.000 3.171 0.000
3.171 0.000 0.000
3.171 3.171 3.171
0.000 0.000 0.000
```

Summary:
crystal system	cubic
formation energy	1.12	eV per atom

=====

Record 4
VASP calculation (SCAN) on a crystal of Rb2Cd2Te relaxed with PBEsol.

POSCAR file:
```
Rb2Cd2Te
1.0
-3.473 3.473 4.308
3.473 -3.473 4.308
3.473 3.473 -4.308
Rb Cd Te
2 2 1
Cartesian
3.473 0.000 2.154
0.000 3.473 2.154
0.000 0.000 1.385
0.000 0.000 7.232
0.000 0.000 4.308
```

Summary:
crystal system	tetragonal
formation energy (no corrections)	-0.250	eV/atom

=====

Record 5
VASP calculation (SCAN) on a crystal of Rb2CdTe relaxed with PBEsol.

POSCAR file:
```
Rb2CdTe
1.0
0.000 4.252 4.252
4.252 0.000 4.252
4.252 4.252 0.000
Rb Cd Te
2 1 1
Cartesian
2.126 2.126 2.126
6.377 6.377 6.377
0.000 0.000 0.000
4.252 4.252 4.252
```

Summary:
crystal system	cubic
formation energy (no corrections)	-0.709	eV/atom

=====

Record 6
VASP calculation (SCAN) on a crystal of RbTiCd2 relaxed with PBEsol.

POSCAR file:
```
RbTiCd2
1.0
0.000 3.751 3.751
3.751 0.000 3.751
3.751 3.751 0.000
Rb Ti Cd
1 1 2
Cartesian
0.000 0.000 0.000
3.751 3.751 3.751
1.875 1.875 1.875
5.626 5.626 5.626
```

Summary:
crystal system	cubic
formation energy	0.58	eV per atom

=====

Record 7
VASP calculation (SCAN) on a crystal of Rb5Tl11Cd2 relaxed with PBEsol.

POSCAR file:
```
Rb5Tl11Cd2
1.0
5.490 0.000 0.000
0.000 8.792 6.465
0.000 -8.792 6.465
Rb Tl Cd
5 11 2
Cartesian
0.000 0.000 0.000
0.000 -3.362 10.172
0.000 3.362 10.172
2.745 -5.471 7.387
2.745 5.471 7.387
0.000 -1.746 3.240
0.000 -2.852 6.491
0.000 1.746 3.240
0.000 0.000 8.504
0.000 2.852 6.491
2.745 -2.837 4.677
2.745 0.000 2.606
2.745 -1.840 7.970
2.745 2.837 4.677
2.745 1.840 7.970
2.745 0.000 10.479
1.375 0.000 5.582
4.115 0.000 5.582
```

Summary:
crystal system	orthorhombic
formation energy	-0.19	eV per atom

=====

Record 8
VASP calculation (SCAN) on a crystal of Rb2TlCd relaxed with PBEsol.

POSCAR file:
```
Rb2TlCd
1.0
0.000 4.318 4.318
4.318 0.000 4.318
4.318 4.318 0.000
Rb Tl Cd
2 1 1
Cartesian
2.159 2.159 2.159
6.478 6.478 6.478
0.000 0.000 0.000
4.318 4.318 4.318
```

Summary:
crystal system	cubic
formation energy	0.04	eV per atom

=====

Record 9
VASP calculation (SCAN) on a crystal of RbZn3Cd relaxed with PBEsol.

POSCAR file:
```
RbZn3Cd
1.0
6.141 0.000 0.000
0.000 6.141 0.000
0.000 0.000 6.141
Rb Zn Cd
1 3 1
Cartesian
0.000 0.000 0.000
0.000 0.000 3.070
0.000 3.070 0.000
3.070 0.000 0.000
3.070 3.070 3.070
```

Summary:
crystal system	cubic
formation energy	0.97	eV per atom

=====

Record 10
VASP calculation (SCAN) on a crystal of Rb2Zr2Cd relaxed with PBEsol.

POSCAR file:
```
Rb2Zr2Cd
1.0
-1.963 1.963 12.246
1.963 -1.963 12.246
1.963 1.963 -12.246
Rb Zr Cd
2 2 1
Cartesian
0.000 0.000 2.617
0.000 0.000 21.874
1.963 0.000 6.123
0.000 1.963 6.123
0.000 0.000 12.246
```

Summary:
crystal system	tetragonal
formation energy	0.61	eV per atom

=====

Record 11
VASP calculation (SCAN) on a crystal of Cd3Re relaxed with PBEsol.

POSCAR file:
```
Cd3Re
1.0
2.785 0.000 0.000
0.000 4.391 0.000
0.000 0.000 5.889
Cd Re
3 1
Cartesian
0.000 0.000 0.000
1.392 2.196 1.561
1.392 2.196 4.328
0.000 0.000 2.944
```

Summary:
crystal system	orthorhombic
formation energy	0.55	eV per atom

=====

Record 12
VASP calculation (SCAN) on a crystal of Cd2Re relaxed with PBEsol.

POSCAR file:
```
Cd2Re
1.0
4.709 0.000 0.000
-2.354 4.078 0.000
0.000 0.000 2.718
Cd Re
2 1
Cartesian
0.000 2.719 0.026
2.354 1.359 2.691
0.000 0.000 1.359
```

Summary:
crystal system	trigonal
formation energy	0.75	eV per atom

=====

Record 13
VASP calculation (SCAN) on a crystal of CdRe relaxed with PBEsol.

POSCAR file:
```
CdRe
1.0
2.959 0.000 0.000
0.000 2.959 0.000
0.000 0.000 7.911
Cd Re
2 2
Cartesian
0.740 0.740 1.133
2.220 2.220 6.778
0.740 0.740 4.681
2.220 2.220 3.231
```

Summary:
crystal system	tetragonal
polymorph energy (0 for the lowest one)	0.000	eV/atom
formation energy	0.22	eV per atom

=====

Record 14
VASP calculation (SCAN) on a crystal of CdRe relaxed with PBEsol.

POSCAR file:
```
CdRe
1.0
0.000 2.672 2.672
2.672 0.000 2.672
2.672 2.672 0.000
Cd Re
1 1
Cartesian
0.000 0.000 0.000
2.672 2.672 2.672
```

Summary:
crystal system	cubic
polymorph energy (0 for the lowest one)	1.900	eV/atom
formation energy	2.12	eV per atom

=====

Record 15
VASP calculation (SCAN) on a crystal of CdRe relaxed with PBEsol.

POSCAR file:
```
CdRe
1.0
4.513 0.000 0.000
-2.256 3.908 0.000
0.000 0.000 4.693
Cd Re
2 2
Cartesian
0.000 2.605 1.173
2.256 1.303 3.520
0.000 0.000 0.000
0.000 0.000 2.346
```

Summary:
crystal system	hexagonal
polymorph energy (0 for the lowest one)	1.119	eV/atom
formation energy	1.34	eV per atom

=====

Record 16
VASP calculation (SCAN) on a crystal of CdRe relaxed with PBEsol.

POSCAR file:
```
CdRe
1.0
-1.568 2.395 4.580
1.568 -2.395 4.580
1.568 2.395 -4.580
Cd Re
2 2
Cartesian
0.000 1.198 1.067
1.568 1.198 3.512
1.568 1.198 -1.353
0.000 1.198 5.933
```

Summary:
crystal system	orthorhombic
polymorph energy (0 for the lowest one)	0.457	eV/atom
formation energy	0.68	eV per atom

=====

Record 17
VASP calculation (SCAN) on a crystal of CdRe3 relaxed with PBEsol.

POSCAR file:
```
CdRe3
1.0
2.786 0.000 0.000
-1.393 2.413 0.000
0.000 0.000 9.256
Cd Re
1 3
Cartesian
0.000 0.000 0.000
0.000 0.000 4.628
1.393 0.804 2.479
1.393 0.804 6.777
```

Summary:
crystal system	hexagonal
polymorph energy (0 for the lowest one)	0.000	eV/atom
formation energy	0.26	eV per atom

=====

Record 18
VASP calculation (SCAN) on a crystal of CdRe3 relaxed with PBEsol.

POSCAR file:
```
CdRe3
1.0
4.810 0.000 0.000
0.000 4.810 0.000
0.000 0.000 4.810
Cd Re
1 3
Cartesian
0.000 0.000 0.000
0.000 0.000 2.405
0.000 2.405 0.000
2.405 0.000 0.000
```

Summary:
crystal system	cubic
polymorph energy (0 for the lowest one)	4.671	eV/atom
formation energy	4.93	eV per atom

=====

Record 19
VASP calculation (SCAN) on a crystal of Cd2ReRh relaxed with PBEsol.

POSCAR file:
```
Cd2ReRh
1.0
1.416 0.818 9.285
-1.416 0.818 9.285
0.000 -1.635 9.285
Cd Re Rh
2 1 1
Cartesian
0.000 0.000 6.892
0.000 0.000 20.964
0.000 0.000 0.000
0.000 0.000 13.928
```

Summary:
crystal system	trigonal
polymorph energy (0 for the lowest one)	0.281	eV/atom
formation energy	0.35	eV per atom

=====

Record 20
VASP calculation (SCAN) on a crystal of Cd2ReRh relaxed with PBEsol.

POSCAR file:
```
Cd2ReRh
1.0
2.829 0.000 0.000
0.000 2.829 0.000
0.000 0.000 8.261
Cd Re Rh
2 1 1
Cartesian
0.000 0.000 0.000
1.414 1.414 2.428
0.000 0.000 4.563
1.414 1.414 6.204
```

Summary:
crystal system	tetragonal
polymorph energy (0 for the lowest one)	0.000	eV/atom
formation energy	0.07	eV per atom